## Mg2TaSb (GGA-PBEsol)

Data for crystalline Mg2TaSb at its relaxed geometry.

The structure in POSCAR format:
```
Mg2TaSb
1.0
2.923 0.000 0.000
0.000 5.067 0.000
0.000 0.000 5.466
Mg Ta Sb
2 1 1
direct
0.000 0.000 0.000
0.000 0.500 0.291
0.500 0.000 0.501
0.500 0.500 0.768
```

E_form (uncorrected) in eV per formula unit: 0.56
DFT total energy in eV/atom: -4.996
Total magnetic moment in μB per cell: 0.00

---

## CaCuTe2N (GGA-PBEsol)

Data for crystalline CaCuTe2N at its relaxed geometry.

The structure in POSCAR format:
```
CaCuTe2N
1.0
5.487 0.000 0.000
0.000 5.487 0.000
0.000 0.000 3.589
Ca Cu Te N
1 1 2 1
direct
0.000 0.000 0.000
0.500 0.500 0.500
0.000 0.500 0.500
0.500 0.000 0.500
0.500 0.500 0.000
```

E_form (uncorrected) in eV per formula unit: 0.23
DFT total energy in eV/atom: -4.363
Total magnetic moment in μB per cell: 1.15

---

## Na2Pr4Cl9O2 (GGA-PBEsol)

Data for crystalline Na2Pr4Cl9O2 at its relaxed geometry.

The structure in POSCAR format:
```
Na2Pr4Cl9O2
1.0
8.158 0.000 0.000
0.000 11.369 0.000
-2.654 0.000 8.838
Na Pr Cl O
4 8 18 4
direct
0.226 0.014 0.432
0.226 0.486 0.432
0.774 0.514 0.568
0.774 0.986 0.568
0.277 0.547 0.954
0.277 0.953 0.954
0.372 0.250 0.779
0.389 0.250 0.166
0.611 0.750 0.834
0.628 0.750 0.221
0.723 0.047 0.046
0.723 0.453 0.046
0.100 0.081 0.685
0.100 0.419 0.685
0.103 0.096 0.122
0.103 0.404 0.122
0.240 0.750 0.753
0.258 0.750 0.140
0.326 0.250 0.459
0.497 0.002 0.297
0.497 0.498 0.297
0.503 0.502 0.703
0.503 0.998 0.703
0.674 0.750 0.541
0.742 0.250 0.860
0.760 0.250 0.247
0.897 0.596 0.878
0.897 0.904 0.878
0.900 0.581 0.315
0.900 0.919 0.315
0.447 0.120 0.986
0.447 0.380 0.986
0.553 0.620 0.014
0.553 0.880 0.014
```

E_form (uncorrected) in eV per formula unit: -40.49
DFT total energy in eV/atom: -5.447
Total magnetic moment in μB per cell: 2.02

---

## InTc2BAu (GGA-PBEsol)

Data for crystalline InTc2BAu at its relaxed geometry.

The structure in POSCAR format:
```
InTc2BAu
1.0
4.960 0.000 0.000
0.000 4.960 0.000
0.000 0.000 4.952
In Tc B Au
1 2 1 1
direct
0.000 0.000 0.000
0.000 0.500 0.500
0.500 0.000 0.500
0.500 0.500 0.000
0.000 0.000 0.500
```

DFT total energy in eV/atom: -4.638
Total magnetic moment in μB per cell: 6.04

---

## TcAu (GGA-PBEsol)

Data for crystalline TcAu at its relaxed geometry.

The structure in POSCAR format:
```
TcAu
1.0
5.238 -1.431 0.000
5.238 1.431 0.000
-1.630 0.000 6.155
Tc Au
3 3
direct
0.000 0.000 0.000
0.037 0.037 0.584
0.406 0.406 0.256
0.339 0.339 0.663
0.673 0.673 0.330
0.715 0.715 0.927
```

E above lowest polymorph in eV/f.u.: 0.48
DFT total energy in eV/atom: -7.298
Total magnetic moment in μB per cell: 0.00

---

## In2ReSb (GGA-PBEsol)

Data for crystalline In2ReSb at its relaxed geometry.

The structure in POSCAR format:
```
In2ReSb
1.0
4.183 0.000 0.000
0.000 4.183 0.000
0.000 0.000 4.579
In Re Sb
2 1 1
direct
0.000 0.500 0.000
0.500 0.000 0.000
0.000 0.000 0.500
0.500 0.500 0.500
```

E_form (uncorrected) in eV per formula unit: 3.12
DFT total energy in eV/atom: -5.185
Total magnetic moment in μB per cell: 0.00

---

The highest DFT total energy belongs to which entry?
CaCuTe2N